Record 1
Here is TbSi2Ag2 after structural relaxation from Alexandria. Energies are from GGA-PBEsol.

Structure (POSCAR):
```
TbSi2Ag2
1.0
-2.0501 2.0501 5.3036
2.0501 -2.0501 5.3036
2.0501 2.0501 -5.3036
Tb Si Ag
1 2 2
Cartesian
0.0000 0.0000 0.0000
0.0000 0.0000 4.1623
0.0000 0.0000 6.4448
2.0501 0.0000 2.6518
0.0000 2.0501 2.6518
```

Values from the calculation:
calculated volume	17.833	Å³ per atom
symmetry	No. 139
size of the total moment	0.00	μB/f.u.
Fermi-level density of states	1.12	states/eV per cell
formation energy from raw total energies	-0.483	eV per atom



Record 2
Here is SiTcAg after structural relaxation from Alexandria. Energies are from GGA-PBEsol.

Structure (POSCAR):
```
SiTcAg
1.0
4.2492 0.0000 0.0000
-2.1246 3.6799 0.0000
0.0000 0.0000 2.7596
Si Tc Ag
1 1 1
Cartesian
0.0000 0.0000 0.0000
0.0000 2.4533 0.6303
2.1246 1.2266 2.0207
```

Values from the calculation:
calculated volume	14.383	Å³ per atom
E above lowest polymorph	27	meV/atom
symmetry	No. 156
size of the total moment	0.00	μB/f.u.
Fermi-level density of states	1.76	states/eV per cell
formation energy from raw total energies	0.166	eV per atom



Record 3
Here is SiTc2Ag after structural relaxation from Alexandria. Energies are from GGA-PBEsol.

Structure (POSCAR):
```
SiTc2Ag
1.0
2.7897 0.0000 0.0000
0.0000 3.8604 0.0000
-1.3896 0.0000 5.3557
Si Tc Ag
1 2 1
Cartesian
0.0000 0.0000 0.0000
-0.0080 0.0000 2.3444
1.3894 1.9302 1.1098
1.3858 1.9302 3.8510
```

Values from the calculation:
calculated volume	14.419	Å³ per atom
symmetry	No. 6
size of the total moment	0.00	μB/f.u.
Fermi-level density of states	2.58	states/eV per cell
formation energy from raw total energies	0.125	eV per atom



Record 4
Here is SiTc3Ag after structural relaxation from Alexandria. Energies are from GGA-PBEsol.

Structure (POSCAR):
```
SiTc3Ag
1.0
4.3543 0.0000 0.0000
0.0000 4.3543 0.0000
0.0000 0.0000 4.3543
Si Tc Ag
1 3 1
Cartesian
0.0000 0.0000 0.0000
0.0000 0.0000 2.1772
0.0000 2.1772 0.0000
2.1772 0.0000 0.0000
2.1772 2.1772 2.1772
```

Values from the calculation:
calculated volume	16.511	Å³ per atom
symmetry	No. 221
size of the total moment	0.00	μB/f.u.
Fermi-level density of states	4.89	states/eV per cell
formation energy from raw total energies	1.082	eV per atom



Record 5
Here is Si2Tc2Ag after structural relaxation from Alexandria. Energies are from GGA-PBEsol.

Structure (POSCAR):
```
Si2Tc2Ag
1.0
-1.7151 1.7151 6.2602
1.7151 -1.7151 6.2602
1.7151 1.7151 -6.2602
Si Tc Ag
2 2 1
Cartesian
1.7151 0.0000 3.1301
0.0000 1.7151 3.1301
0.0000 0.0000 1.3839
0.0000 0.0000 11.1364
0.0000 0.0000 6.2602
```

Values from the calculation:
calculated volume	14.731	Å³ per atom
symmetry	No. 139
size of the total moment	0.01	μB/f.u.
Fermi-level density of states	5.19	states/eV per cell
formation energy from raw total energies	0.057	eV per atom



Record 6
Here is SiTcAg after structural relaxation from Alexandria. Energies are from GGA-PBEsol.

Structure (POSCAR):
```
SiTcAg
1.0
-1.5043 1.5043 4.8502
1.5043 -1.5043 4.8502
1.5043 1.5043 -4.8502
Si Tc Ag
1 1 1
Cartesian
0.0000 0.0000 0.0000
0.0000 0.0000 3.7054
0.0000 0.0000 6.6053
```

Values from the calculation:
calculated volume	14.634	Å³ per atom
E above lowest polymorph	0	meV/atom
symmetry	No. 107
size of the total moment	0.17	μB/f.u.
Fermi-level density of states	2.89	states/eV per cell
formation energy from raw total energies	0.139	eV per atom



Record 7
Here is SiTc2Ag after structural relaxation from Alexandria. Energies are from GGA-PBEsol.

Structure (POSCAR):
```
SiTc2Ag
1.0
2.8361 0.0000 0.0000
0.0000 3.7015 0.0000
0.0000 0.0000 5.4682
Si Tc Ag
1 2 1
Cartesian
0.0000 0.0000 0.0000
0.0000 0.0000 2.5393
1.4180 1.8507 1.3771
1.4180 1.8507 4.1121
```

Values from the calculation:
calculated volume	14.351	Å³ per atom
symmetry	No. 25
size of the total moment	0.00	μB/f.u.
Fermi-level density of states	2.62	states/eV per cell
formation energy from raw total energies	0.162	eV per atom



Record 8
Here is SiTcAg after structural relaxation from Alexandria. Energies are from GGA-PBEsol.

Structure (POSCAR):
```
SiTcAg
1.0
0.0000 2.9492 2.9492
2.9492 0.0000 2.9492
2.9492 2.9492 0.0000
Si Tc Ag
1 1 1
Cartesian
0.0000 0.0000 0.0000
4.4238 4.4238 4.4238
2.9492 2.9492 2.9492
```

Values from the calculation:
calculated volume	17.101	Å³ per atom
E above lowest polymorph	424	meV/atom
symmetry	No. 216
size of the total moment	0.88	μB/f.u.
Fermi-level density of states	2.96	states/eV per cell
formation energy from raw total energies	0.563	eV per atom